{
  "formula": "Mn4Zn3",
  "functional": "GGA-PBE",
  "state": "optimized geometry",
  "spacegroup": "I4/mmm",
  "total_magnetization_mub_per_fu": 13.1,
  "e_tot_ev_per_atom": -5.643,
  "formation_enthalpy_0k_ev_per_fu": 1.0,
  "e_above_lowest_polymorph_ev_per_fu": 0.00,
  "lattice": [[-1.3860, 1.3860, 12.7875], [1.3860, -1.3860, 12.7875], [1.3860, 1.3860, -12.7875]],
  "species": ["Mn", "Mn", "Mn", "Mn", "Zn", "Zn", "Zn"],
  "fractional_positions": [[0.0712, 0.0712, 0.0000], [0.3586, 0.3586, 0.0000], [0.6414, 0.6414, 0.0000], [0.9288, 0.9288, 0.0000], [0.2128, 0.2128, 0.0000], [0.5000, 0.5000, 0.0000], [0.7872, 0.7872, 0.0000]]
}

---

{
  "formula": "NaScAgHg",
  "functional": "GGA-PBE",
  "state": "optimized geometry",
  "spacegroup": "F-43m",
  "total_magnetization_mub_per_fu": 0.0,
  "e_tot_ev_per_atom": -2.828,
  "formation_enthalpy_0k_ev_per_fu": -0.5,
  "lattice": [[0.0000, 3.5025, 3.5025], [3.5025, 0.0000, 3.5025], [3.5025, 3.5025, 0.0000]],
  "species": ["Na", "Sc", "Ag", "Hg"],
  "fractional_positions": [[0.0000, 0.0000, 0.0000], [0.5000, 0.5000, 0.5000], [0.7500, 0.7500, 0.7500], [0.2500, 0.2500, 0.2500]]
}

---

{
  "formula": "PdNCl2",
  "functional": "GGA-PBE",
  "state": "optimized geometry",
  "spacegroup": "C2/m",
  "raw_formation_energy_kj_per_mol_atoms": 93.03,
  "total_magnetization_mub_per_fu": 3.0,
  "e_tot_ev_per_atom": -3.339,
  "e_above_lowest_polymorph_ev_per_fu": 0.00,
  "lattice": [[9.0151, -1.7112, 0.0000], [9.0151, 1.7112, 0.0000], [-3.5105, 0.0000, 7.9591]],
  "species": ["Pd", "Pd", "N", "N", "Cl", "Cl", "Cl", "Cl"],
  "fractional_positions": [[0.2394, 0.2394, 0.2376], [0.7606, 0.7606, 0.7624], [0.0005, 0.0005, 0.2448], [0.9995, 0.9995, 0.7552], [0.1676, 0.1676, 0.6396], [0.3535, 0.3535, 0.8848], [0.6465, 0.6465, 0.1152], [0.8324, 0.8324, 0.3604]]
}

---

{
  "formula": "RbTaIn2Ir",
  "functional": "GGA-PBE",
  "state": "optimized geometry",
  "spacegroup": "P4/mmm",
  "total_magnetization_mub_per_fu": 4.1,
  "e_tot_ev_per_atom": -3.510,
  "formation_enthalpy_0k_ev_per_fu": 9.6,
  "lattice": [[5.4091, 0.0000, 0.0000], [0.0000, 5.4091, 0.0000], [0.0000, 0.0000, 5.8337]],
  "species": ["Rb", "Ta", "In", "In", "Ir"],
  "fractional_positions": [[0.0000, 0.0000, 0.0000], [0.0000, 0.0000, 0.5000], [0.0000, 0.5000, 0.5000], [0.5000, 0.0000, 0.5000], [0.5000, 0.5000, 0.0000]]
}